(1)
This record from OQMD via LeMat-Bulk describes LiNbInFe after structural relaxation. The functional is PBE.

Calculated values
Space-group type: F-43m (216)
ΔE to the lowest computed polymorph (eV/atom): 0.4305

```
LiNbInFe
1.0
0.000 3.196 3.196
3.196 0.000 3.196
3.196 3.196 0.000
Li Nb In Fe
1 1 1 1
Direct
0.000 0.000 0.000
0.250 0.250 0.250
0.500 0.500 0.500
0.750 0.750 0.750
```


(2)
This record from OQMD via LeMat-Bulk describes PmSmO2F2 after structural relaxation. The functional is PBE.

Calculated values
Uncorrected energy (eV per atom): -7.56
Space-group type: P4mm (99)

```
PmSmO2F2
1.0
3.778 0.000 0.000
0.000 3.778 0.000
0.000 0.000 5.898
Pm Sm O F
1 1 2 2
Direct
0.000 0.000 0.000
0.500 0.500 0.419
0.000 0.500 0.211
0.500 0.000 0.211
0.000 0.000 0.599
0.500 0.500 0.819
```


(3)
This record from OQMD via LeMat-Bulk describes NbSnOs2 after structural relaxation. The functional is PBE.

Calculated values
Uncorrected energy (eV per atom): -8.70
Space-group type: F-43m (216)

```
NbSnOs2
1.0
0.000 3.223 3.223
3.223 0.000 3.223
3.223 3.223 0.000
Nb Sn Os
1 1 2
Direct
0.000 0.000 0.000
0.750 0.750 0.750
0.250 0.250 0.250
0.500 0.500 0.500
```


(4)
This record from OQMD via LeMat-Bulk describes CsRbTb after structural relaxation. The functional is PBE.

Calculated values
Uncorrected energy (eV per atom): -0.54
Space-group type: F-43m (216)

```
CsRbTb
1.0
0.000 4.853 4.853
4.853 0.000 4.853
4.853 4.853 0.000
Cs Rb Tb
1 1 1
Direct
0.000 0.000 0.000
0.750 0.750 0.750
0.250 0.250 0.250
```


(5)
This record from OQMD via LeMat-Bulk describes KDyNO after structural relaxation. The functional is PBE.

Calculated values
Space-group type: P4/mmm (123)
ΔE to the lowest computed polymorph (eV/atom): 0.2110

```
KDyNO
1.0
3.646 0.000 0.000
0.000 3.646 0.000
0.000 0.000 4.747
K Dy N O
1 1 1 1
Direct
0.000 0.000 0.000
0.500 0.500 0.500
0.000 0.000 0.500
0.500 0.500 0.000
```


(6)
This record from OQMD via LeMat-Bulk describes Nb2ZnB2 after structural relaxation. The functional is PBE.

Calculated values
Uncorrected energy (eV per atom): -7.46
Space-group type: Cmmm (65)

```
Nb2ZnB2
1.0
1.552 -5.917 0.000
1.552 5.917 0.000
0.000 0.000 3.298
Nb Zn B
2 1 2
Direct
0.141 0.859 0.000
0.859 0.141 0.000
0.500 0.500 0.500
0.287 0.713 0.500
0.713 0.287 0.500
```


(7)
This record from OQMD via LeMat-Bulk describes Co8Re7 after structural relaxation. The functional is PBE.

Calculated values
Space-group type: P4_2/mnm (136)
ΔE to the lowest computed polymorph (eV/atom): 0.0000
DFT formation energy (meV per atom): 117

```
Co8Re7
1.0
9.075 0.000 0.000
0.000 9.075 0.000
0.000 0.000 4.611
Co Re
16 14
Direct
0.064 0.259 0.000
0.185 0.815 0.251
0.185 0.815 0.749
0.241 0.564 0.500
0.259 0.064 0.000
0.315 0.315 0.249
0.315 0.315 0.751
0.436 0.759 0.500
0.564 0.241 0.500
0.685 0.685 0.249
0.685 0.685 0.751
0.741 0.936 0.000
0.759 0.436 0.500
0.815 0.185 0.251
0.815 0.185 0.749
0.936 0.741 0.000
0.000 0.000 0.000
0.040 0.368 0.500
0.104 0.104 0.500
0.132 0.540 0.000
0.368 0.040 0.500
0.396 0.604 0.000
0.460 0.868 0.000
0.500 0.500 0.500
0.540 0.132 0.000
0.604 0.396 0.000
0.632 0.960 0.500
0.868 0.460 0.000
0.896 0.896 0.500
0.960 0.632 0.500
```


(8)
This record from OQMD via LeMat-Bulk describes YSi2Os after structural relaxation. The functional is PBE.

Calculated values
Uncorrected energy (eV per atom): -6.99
Space-group type: F-43m (216)

```
YSi2Os
1.0
0.000 3.247 3.247
3.247 0.000 3.247
3.247 3.247 0.000
Y Si Os
1 2 1
Direct
0.000 0.000 0.000
0.250 0.250 0.250
0.500 0.500 0.500
0.750 0.750 0.750
```


(9)
This record from OQMD via LeMat-Bulk describes Cs2Pm4Cu4Te9 after structural relaxation. The functional is PBE.

Calculated values
Uncorrected energy (eV per atom): -4.35
Space-group type: C2/m (12)

```
Cs2Pm4Cu4Te9
1.0
7.884 -2.230 0.000
7.884 2.230 0.000
-5.588 0.000 17.164
Cs Pm Cu Te
2 4 4 9
Direct
0.031 0.031 0.273
0.969 0.969 0.727
0.228 0.228 0.100
0.346 0.346 0.445
0.654 0.654 0.555
0.772 0.772 0.900
0.247 0.247 0.735
0.422 0.422 0.024
0.578 0.578 0.976
0.753 0.753 0.265
0.000 0.000 0.500
0.133 0.133 0.922
0.298 0.298 0.604
0.343 0.343 0.273
0.399 0.399 0.873
0.601 0.601 0.127
0.657 0.657 0.727
0.702 0.702 0.396
0.867 0.867 0.078
```


(10)
This record from OQMD via LeMat-Bulk describes LaPrZn6Ge3 after structural relaxation. The functional is PBE.

Calculated values
Uncorrected energy (eV per atom): -3.27
Space-group type: P-6 (174)

```
LaPrZn6Ge3
1.0
7.712 0.000 0.000
-3.856 6.679 0.000
0.000 0.000 4.146
La Pr Zn Ge
1 1 6 3
Direct
0.000 0.000 0.000
0.667 0.333 0.000
0.043 0.666 0.500
0.145 0.479 0.000
0.334 0.377 0.500
0.334 0.855 0.000
0.521 0.666 0.000
0.623 0.957 0.500
0.334 0.046 0.500
0.712 0.666 0.500
0.954 0.288 0.500
```


(11)
This record from OQMD via LeMat-Bulk describes LiTbTe4Au3 after structural relaxation. The functional is PBE.

Calculated values
Space-group type: P-43m (215)
ΔE to the lowest computed polymorph (eV/atom): 0.0000

```
LiTbTe4Au3
1.0
6.481 0.000 0.000
0.000 6.481 0.000
0.000 0.000 6.481
Li Tb Te Au
1 1 4 3
Direct
0.000 0.000 0.000
0.500 0.500 0.500
0.240 0.240 0.240
0.240 0.760 0.760
0.760 0.240 0.760
0.760 0.760 0.240
0.000 0.500 0.500
0.500 0.000 0.500
0.500 0.500 0.000
```


(12)
This record from OQMD via LeMat-Bulk describes LuCuSbW after structural relaxation. The functional is PBE.

Calculated values
Space-group type: F-43m (216)
ΔE to the lowest computed polymorph (eV/atom): 0.0000

```
LuCuSbW
1.0
0.000 3.336 3.336
3.336 0.000 3.336
3.336 3.336 0.000
Lu Cu Sb W
1 1 1 1
Direct
0.000 0.000 0.000
0.750 0.750 0.750
0.500 0.500 0.500
0.250 0.250 0.250
```


(13)
This record from OQMD via LeMat-Bulk describes Hf4Bi3Te after structural relaxation. The functional is PBE.

Calculated values
Uncorrected energy (eV per atom): -7.22
Space-group type: Pmmn (59)

```
Hf4Bi3Te
1.0
5.345 0.000 0.000
0.000 10.695 0.000
0.000 0.000 7.414
Hf Bi Te
8 6 2
Direct
0.250 0.001 0.113
0.250 0.250 0.879
0.250 0.499 0.113
0.250 0.750 0.884
0.750 0.250 0.116
0.750 0.501 0.887
0.750 0.750 0.121
0.750 0.999 0.887
0.250 0.000 0.689
0.250 0.500 0.689
0.250 0.750 0.309
0.750 0.000 0.311
0.750 0.250 0.691
0.750 0.500 0.311
0.250 0.250 0.281
0.750 0.750 0.719
```


(14)
This record from OQMD via LeMat-Bulk describes CsNaEr after structural relaxation. The functional is PBE.

Calculated values
Uncorrected energy (eV per atom): -1.28
Space-group type: F-43m (216)

```
CsNaEr
1.0
0.000 4.349 4.349
4.349 0.000 4.349
4.349 4.349 0.000
Cs Na Er
1 1 1
Direct
0.000 0.000 0.000
0.500 0.500 0.500
0.250 0.250 0.250
```


(15)
This record from OQMD via LeMat-Bulk describes NbPAuO after structural relaxation. The functional is PBE.

Calculated values
Space-group type: P4/nmm (129)
ΔE to the lowest computed polymorph (eV/atom): 0.1679

```
NbPAuO
1.0
3.665 0.000 0.000
0.000 3.665 0.000
0.000 0.000 8.778
Nb P Au O
2 2 2 2
Direct
0.250 0.250 0.137
0.750 0.750 0.863
0.250 0.250 0.734
0.750 0.750 0.266
0.250 0.750 0.500
0.750 0.250 0.500
0.250 0.750 0.000
0.750 0.250 0.000
```


(16)
This record from OQMD via LeMat-Bulk describes Nd2Pd5Au5 after structural relaxation. The functional is PBE.

Calculated values
Space-group type: Pmmm (47)
DFT formation energy (meV per atom): -562

```
Nd2Pd5Au5
1.0
4.605 0.000 0.000
0.000 5.467 0.000
0.000 0.000 9.452
Nd Pd Au
2 5 5
Direct
0.000 0.000 0.000
0.000 0.500 0.500
0.000 0.000 0.334
0.000 0.000 0.666
0.000 0.500 0.163
0.000 0.500 0.837
0.500 0.500 0.000
0.500 0.000 0.500
0.500 0.250 0.247
0.500 0.250 0.753
0.500 0.750 0.247
0.500 0.750 0.753
```


(17)
This record from OQMD via LeMat-Bulk describes SnPt7 after structural relaxation. The functional is PBE.

Calculated values
Space-group type: Pmmn (59)
ΔE to the lowest computed polymorph (eV/atom): 0.0000

```
SnPt7
1.0
2.855 0.000 0.000
0.000 3.935 0.000
0.000 0.000 36.180
Sn Pt
2 14
Direct
0.250 0.250 0.206
0.750 0.750 0.794
0.250 0.250 0.287
0.250 0.250 0.365
0.250 0.250 0.442
0.250 0.250 0.519
0.250 0.250 0.596
0.250 0.250 0.674
0.250 0.250 0.754
0.750 0.750 0.246
0.750 0.750 0.326
0.750 0.750 0.404
0.750 0.750 0.481
0.750 0.750 0.558
0.750 0.750 0.635
0.750 0.750 0.713
```


(18)
This record from OQMD via LeMat-Bulk describes HoEr5Bi6 after structural relaxation. The functional is PBE.

Calculated values
Uncorrected energy (eV per atom): -5.14
Space-group type: C2/m (12)

```
HoEr5Bi6
1.0
3.841 -6.652 0.000
3.841 6.652 0.000
-2.560 0.000 7.241
Ho Er Bi
1 5 6
Direct
0.000 0.000 0.000
0.166 0.834 0.500
0.333 0.667 0.000
0.500 0.500 0.500
0.667 0.333 0.000
0.834 0.166 0.500
0.084 0.418 0.251
0.251 0.251 0.750
0.418 0.084 0.251
0.582 0.916 0.749
0.749 0.749 0.250
0.916 0.582 0.749
```


(19)
This record from OQMD via LeMat-Bulk describes SmBeNb after structural relaxation. The functional is PBE.

Calculated values
Space-group type: F-43m (216)
ΔE to the lowest computed polymorph (eV/atom): 0.0000

```
SmBeNb
1.0
0.000 3.149 3.149
3.149 0.000 3.149
3.149 3.149 0.000
Sm Be Nb
1 1 1
Direct
0.000 0.000 0.000
0.750 0.750 0.750
0.500 0.500 0.500
```


(20)
This record from OQMD via LeMat-Bulk describes LiAlFeH6 after structural relaxation. The functional is PBE.

Calculated values
Uncorrected energy (eV per atom): -4.01
Space-group type: P6_3 (173)

```
LiAlFeH6
1.0
4.187 0.000 0.000
-2.094 3.626 0.000
0.000 0.000 8.482
Li Al Fe H
2 2 2 12
Direct
0.333 0.667 0.000
0.667 0.333 0.500
0.000 0.000 0.288
0.000 0.000 0.788
0.333 0.667 0.305
0.667 0.333 0.805
0.010 0.607 0.193
0.094 0.365 0.430
0.271 0.906 0.430
0.365 0.271 0.930
0.393 0.403 0.193
0.403 0.010 0.693
0.597 0.990 0.193
0.607 0.597 0.693
0.635 0.729 0.430
0.729 0.094 0.930
0.906 0.635 0.930
0.990 0.393 0.693
```